First-principles (PBE+U) data for crystalline Li2NdMoF8 at its relaxed geometry, as listed in the Alexandria database.

Its total DFT energy (no corrections) is -68.33 eV per cell. The density of states at the Fermi level comes out at 0.000 states/eV/atom. The calculation puts the total magnetic moment at 3.00 μB/cell. The value obtained for the calculated volume is 13.12 A^3/atom.

The structure belongs to space group P-1 (No. 2); the cell edges are 4.1032, 5.1649 and 7.4640 Å and the angles 90.05°, 90.00° and 95.63°. The asymmetric unit holds Li at (0.9997, 0.0003, 0.2031), Nd at (0.5000, 0.5000, 0.5000), Mo at (0.5000, 0.5000, 0.0000), F at (0.0676, 0.7520, 0.5004), F at (0.1398, 0.7643, 0.0001), F at (0.3660, 0.2643, 0.2285) and F at (0.3658, 0.2643, 0.7712).